Record 1
Here is a relaxed La2VHg crystal from the Alexandria database. Energies are from PBE-GGA.

Lattice parameters (Å, degrees): 5.4252 5.4252 5.4252 60.00 60.00 60.00
With the nearest neighbours (Å) after each atom.
Element x y z (fractional)
V (0.0000, 0.0000, 0.0000)  8 La 3.32
Hg (0.5000, 0.5000, 0.5000)  8 La 3.32
La (0.2500, 0.2500, 0.2500)  4 Hg 3.32, 4 V 3.32
La (0.7500, 0.7500, 0.7500)  4 Hg 3.32, 4 V 3.32

Properties
**Formation energy from the elements**: 4 kJ per mole of atoms
**ΔE to the lowest computed polymorph**: 0.0 kJ/mol of atoms
**DOS at the Fermi energy**: 1.13 states/eV per atom

=====

Record 2
Here is a relaxed LaV3Hg crystal from the Alexandria database. Energies are from PBE-GGA.

Lattice parameters (Å, degrees): 5.0995 5.0995 5.0995 90.00 90.00 90.00
With the nearest neighbours (Å) after each atom.
Element x y z (fractional)
La (0.5000, 0.5000, 0.5000)  12 V 3.61
V (0.5000, 0.0000, 0.0000)  2 Hg 2.55
V (0.0000, 0.5000, 0.0000)  2 Hg 2.55
V (0.0000, 0.0000, 0.5000)  2 Hg 2.55
Hg (0.0000, 0.0000, 0.0000)  6 V 2.55

Properties
**Formation energy from the elements**: 117 kJ per mole of atoms
**ΔE to the lowest computed polymorph**: 0.0 kJ/mol of atoms
**DOS at the Fermi energy**: 2.20 states/eV per atom

=====

Record 3
Here is a relaxed LaV3Hg crystal from the Alexandria database. Energies are from PBE-GGA.

Lattice parameters (Å, degrees): 4.5826 4.5826 4.5826 90.00 90.00 90.00
With the nearest neighbours (Å) after each atom.
Element x y z (fractional)
V (0.0000, 0.5000, 0.0000)  2 La 2.29
V (0.5000, 0.0000, 0.0000)  2 La 2.29
V (0.0000, 0.0000, 0.5000)  2 La 2.29
La (0.0000, 0.0000, 0.0000)  6 V 2.29
Hg (0.5000, 0.5000, 0.5000)  12 V 3.24

Properties
**Formation energy from the elements**: 150 kJ per mole of atoms
**ΔE to the lowest computed polymorph**: 33.1 kJ/mol of atoms
**DOS at the Fermi energy**: 0.88 states/eV per atom

=====

Record 4
Here is a relaxed LaHg2W crystal from the Alexandria database. Energies are from PBE-GGA.

Lattice parameters (Å, degrees): 7.0026 5.5015 3.1626 90.00 63.16 120.44
With the nearest neighbours (Å) after each atom.
Element x y z (fractional)
Hg (0.5000, 0.0000, 0.5000)  4 Hg 3.12-3.16, 4 La 3.17, 4 W 3.17
Hg (0.0000, 0.0000, 0.0000)  4 Hg 3.12-3.16, 4 W 3.17, 4 La 3.17
W (0.5000, 0.5000, 0.0000)  2 La 3.12, 2 W 3.16, 8 Hg 3.17
La (0.0000, 0.5000, 0.5000)  2 W 3.12, 2 La 3.16, 8 Hg 3.17

Properties
**Formation energy from the elements**: 51 kJ per mole of atoms
**ΔE to the lowest computed polymorph**: 9.7 kJ/mol of atoms
**DOS at the Fermi energy**: 0.76 states/eV per atom

=====

Record 5
Here is a relaxed LaHg3W crystal from the Alexandria database. Energies are from PBE-GGA.

Lattice parameters (Å, degrees): 5.2354 5.2354 5.2354 90.00 90.00 90.00
With the nearest neighbours (Å) after each atom.
Element x y z (fractional)
Hg (0.0000, 0.5000, 0.0000)  2 W 2.62
Hg (0.5000, 0.0000, 0.0000)  2 W 2.62
Hg (0.0000, 0.0000, 0.5000)  2 W 2.62
La (0.5000, 0.5000, 0.5000)  12 Hg 3.70
W (0.0000, 0.0000, 0.0000)  6 Hg 2.62

Properties
**Formation energy from the elements**: 48 kJ per mole of atoms
**ΔE to the lowest computed polymorph**: 0.0 kJ/mol of atoms
**DOS at the Fermi energy**: 1.08 states/eV per atom

=====

Record 6
Here is a relaxed LaHg2W crystal from the Alexandria database. Energies are from PBE-GGA.

Lattice parameters (Å, degrees): 5.5247 5.5247 5.5247 131.54 131.54 70.95
With the nearest neighbours (Å) after each atom.
Element x y z (fractional)
Hg (0.5000, 0.5000, 0.0000)  4 W 3.19, 4 La 3.19, 4 Hg 3.21
Hg (0.0000, 0.0000, 0.0000)  4 La 3.19, 4 W 3.19, 4 Hg 3.21
W (0.7500, 0.2500, 0.5000)  8 Hg 3.19, 4 La 3.21
La (0.2500, 0.7500, 0.5000)  8 Hg 3.19, 4 W 3.21

Properties
**Formation energy from the elements**: 45 kJ per mole of atoms
**ΔE to the lowest computed polymorph**: 4.2 kJ/mol of atoms
**DOS at the Fermi energy**: 0.89 states/eV per atom

=====

Record 7
Here is a relaxed LaHg2W crystal from the Alexandria database. Energies are from PBE-GGA.

Lattice parameters (Å, degrees): 6.1917 6.1917 6.1917 147.31 132.69 58.69
With the nearest neighbours (Å) after each atom.
Element x y z (fractional)
Hg (0.0344, 0.0344, 0.0000)  2 W 2.91, 4 Hg 3.12
Hg (0.4656, 0.4656, 0.0000)  2 W 2.91, 4 Hg 3.12
La (0.7500, 0.2500, 0.5000)  4 W 3.03
W (0.2500, 0.7500, 0.5000)  4 Hg 2.91, 4 La 3.03

Properties
**Formation energy from the elements**: 44 kJ per mole of atoms
**ΔE to the lowest computed polymorph**: 3.1 kJ/mol of atoms
**DOS at the Fermi energy**: 0.87 states/eV per atom

=====

Record 8
Here is a relaxed LaHg2W crystal from the Alexandria database. Energies are from PBE-GGA.

Lattice parameters (Å, degrees): 5.6603 5.6603 5.6603 133.48 133.48 67.90
With the nearest neighbours (Å) after each atom.
Element x y z (fractional)
Hg (0.2500, 0.7500, 0.5000)  4 W 3.16, 4 Hg 3.24, 4 La 3.24
Hg (0.0000, 0.0000, 0.0000)  4 La 3.16, 4 Hg 3.24, 4 W 3.24
La (0.5000, 0.5000, 0.0000)  8 Hg 3.16-3.24, 4 W 3.24
W (0.7500, 0.2500, 0.5000)  8 Hg 3.16-3.24, 4 La 3.24

Properties
**Formation energy from the elements**: 58 kJ per mole of atoms
**ΔE to the lowest computed polymorph**: 17.0 kJ/mol of atoms
**DOS at the Fermi energy**: 0.96 states/eV per atom